Here is a relaxed Ga4Cu crystal from Alexandria via LeMat-Bulk. Energies are from PBE-GGA.

The structure in POSCAR format:
```
Ga4Cu
1.0
2.912 -7.151 0.000
2.912 7.151 0.000
0.000 0.000 4.262
Ga Cu
8 2
Direct
0.030 0.427 0.750
0.142 0.303 0.250
0.303 0.142 0.750
0.427 0.030 0.250
0.573 0.970 0.750
0.697 0.858 0.250
0.858 0.697 0.750
0.970 0.573 0.250
0.442 0.558 0.750
0.558 0.442 0.250
```

Computed properties:
For the energy relative to the lowest polymorph listed for this composition, the calculation gives 0.010 eV/atom. The calculation puts the energy of formation at -0.45 kcal/mol of atoms.

=====

Here is a relaxed Ga4Cu crystal from Alexandria via LeMat-Bulk. Energies are from PBE-GGA.

The structure in POSCAR format:
```
Ga4Cu
1.0
3.902 -5.671 0.000
3.902 5.671 0.000
-3.381 0.000 3.910
Ga Cu
8 2
Direct
0.064 0.247 0.159
0.133 0.477 0.806
0.247 0.064 0.659
0.477 0.133 0.306
0.523 0.867 0.694
0.753 0.936 0.341
0.867 0.523 0.194
0.936 0.753 0.841
0.500 0.500 0.250
0.500 0.500 0.750
```

Computed properties:
For the energy relative to the lowest polymorph listed for this composition, the calculation gives 0.000 eV/atom. The calculation puts the energy of formation at -0.69 kcal/mol of atoms.

=====

Here is a relaxed GaCu4 crystal from Alexandria via LeMat-Bulk. Energies are from PBE-GGA.

The structure in POSCAR format:
```
GaCu4
1.0
2.418 -2.409 0.000
2.418 2.409 0.000
-2.260 0.000 6.071
Ga Cu
1 4
Direct
0.000 0.000 0.000
0.250 0.750 0.500
0.394 0.394 0.803
0.606 0.606 0.197
0.750 0.250 0.500
```

Computed properties:
For the energy relative to the lowest polymorph listed for this composition, the calculation gives 0.223 eV/atom. The calculation puts the energy of formation at 4.09 kcal/mol of atoms.

=====

Here is a relaxed GaCu3 crystal from Alexandria via LeMat-Bulk. Energies are from PBE-GGA.

The structure in POSCAR format:
```
GaCu3
1.0
5.247 0.000 0.000
-2.624 4.544 0.000
0.000 0.000 4.239
Ga Cu
2 6
Direct
0.333 0.667 0.250
0.667 0.333 0.750
0.165 0.330 0.750
0.165 0.835 0.750
0.330 0.165 0.250
0.670 0.835 0.750
0.835 0.165 0.250
0.835 0.670 0.250
```

Computed properties:
The calculation puts the energy of formation at -2.13 kcal/mol of atoms.

=====

Theoretical density for every record listed, in sequence, given in kg/m3: 6407 6572 7605 8555.
Magnetization for every record listed, in sequence, given in μB per atom: 0.00 0.00 0.00 0.00.